Pm3PrZn2 after structural relaxation. Source: the Alexandria database, functional PBE-GGA.

CIF file:
```
data_Pm3PrZn2
_cell_length_a 3.669
_cell_length_b 3.669
_cell_length_c 12.518
_cell_angle_alpha 90.00
_cell_angle_beta 90.00
_cell_angle_gamma 90.00
_symmetry_space_group_name_H-M 'P 4/m m m'
_symmetry_Int_Tables_number 123
_symmetry_space_group_name_Hall '-P 4 2'
loop_
_atom_site_label
_atom_site_type_symbol
_atom_site_fract_x
_atom_site_fract_y
_atom_site_fract_z
_atom_site_occupancy
Pm1 Pm 0.000 0.000 0.000 1
Pm2 Pm 0.000 0.000 0.288 1
Pr1 Pr 0.500 0.500 0.500 1
Zn1 Zn 0.500 0.500 0.145 1
```

Calculated values
* formation energy: -0.22 eV per atom
* mass density: 6.96 g/cm3
* volume: 168.53 Å³ per cell